The following is a DFT calculation (PBE-GGA) of crystalline YZrZn6 at its relaxed geometry.

Summary:
N(E_F)	3.6	states/eV/cell
electronic total energy	-3.1185	eV per atom
ΔE_f	-286.5	meV/atom
SG	P-6m2
magnetization	0.000	μB/atom

Cell: 6.0576 6.0576 4.4152 Å, 90.00 90.00 120.00°
Element x y z (fractional)
Y 0.0000 0.0000 0.0000
Zr 0.6667 0.3333 0.5000
Zn 0.0180 0.5090 0.0000
Zn 0.1819 0.3637 0.5000
Zn 0.1819 0.8181 0.5000
Zn 0.4910 0.5090 0.0000
Zn 0.4910 0.9820 0.0000
Zn 0.6363 0.8181 0.5000

***

The following is a DFT calculation (PBE-GGA) of crystalline YZr2 at its relaxed geometry.

Summary:
N(E_F)	4.6	states/eV/cell
electronic total energy	-7.7483	eV per atom
ΔE_f	105.1	meV/atom
SG	I4/mmm
magnetization	0.000	μB/atom

Cell: 7.8409 7.8409 7.8409 Å, 156.33 156.33 33.72°
Element x y z (fractional)
Y 0.0000 0.0000 0.0000
Zr 0.3228 0.3228 0.0000
Zr 0.6772 0.6772 0.0000

***

The following is a DFT calculation (PBE-GGA) of crystalline YZr at its relaxed geometry.

Summary:
N(E_F)	4.3	states/eV/cell
electronic total energy	-7.2208	eV per atom
ΔE_f	285.3	meV/atom
E above lowest polymorph	0.237	eV per atom
SG	Pm-3m
magnetization	0.000	μB/atom

Cell: 3.7772 3.7772 3.7772 Å, 90.00 90.00 90.00°
Element x y z (fractional)
Y 0.0000 0.0000 0.0000
Zr 0.5000 0.5000 0.5000

***

The following is a DFT calculation (PBE-GGA) of crystalline YZr at its relaxed geometry.

Summary:
N(E_F)	3.0	states/eV/cell
electronic total energy	-7.3660	eV per atom
ΔE_f	140.1	meV/atom
E above lowest polymorph	0.092	eV per atom
SG	R-3m
magnetization	0.000	μB/atom

Cell: 5.8362 5.8362 5.8362 Å, 33.40 33.40 33.40°
Element x y z (fractional)
Y 0.0000 0.0000 0.0000
Zr 0.5000 0.5000 0.5000

***

The following is a DFT calculation (PBE-GGA) of crystalline YZr at its relaxed geometry.

Summary:
N(E_F)	5.6	states/eV/cell
electronic total energy	-7.3883	eV per atom
ΔE_f	117.8	meV/atom
E above lowest polymorph	0.070	eV per atom
SG	Amm2
magnetization	0.000	μB/atom

Cell: 5.1601 6.5239 6.5239 Å, 29.56 90.00 90.00°
Element x y z (fractional)
Y 0.0000 0.0000 0.0000
Y 0.5000 0.3725 0.3725
Zr 0.0000 0.2442 0.2442
Zr 0.5000 0.6445 0.6445

***

The following is a DFT calculation (PBE-GGA) of crystalline YZr at its relaxed geometry.

Summary:
N(E_F)	2.7	states/eV/cell
electronic total energy	-7.3681	eV per atom
ΔE_f	138.0	meV/atom
E above lowest polymorph	0.090	eV per atom
SG	P4/mmm
magnetization	0.000	μB/atom

Cell: 3.3373 3.3373 4.8313 Å, 90.00 90.00 90.00°
Element x y z (fractional)
Y 0.0000 0.0000 0.0000
Zr 0.5000 0.5000 0.5000

***

The following is a DFT calculation (PBE-GGA) of crystalline YZr at its relaxed geometry.

Summary:
N(E_F)	10.1	states/eV/cell
electronic total energy	-6.8769	eV per atom
ΔE_f	629.2	meV/atom
E above lowest polymorph	0.581	eV per atom
SG	P4_2/mnm
magnetization	0.000	μB/atom

Cell: 6.0596 6.0596 6.2737 Å, 90.00 90.00 90.00°
Element x y z (fractional)
Y 0.1798 0.1798 0.0000
Y 0.3202 0.6798 0.5000
Y 0.6798 0.3202 0.5000
Y 0.8202 0.8202 0.0000
Zr 0.1674 0.1674 0.5000
Zr 0.3326 0.6674 0.0000
Zr 0.6674 0.3326 0.0000
Zr 0.8326 0.8326 0.5000

***

The following is a DFT calculation (PBE-GGA) of crystalline Y5Zr at its relaxed geometry.

Summary:
N(E_F)	10.8	states/eV/cell
electronic total energy	-6.7604	eV per atom
ΔE_f	51.0	meV/atom
E above lowest polymorph	0.000	eV per atom
SG	Cm
magnetization	0.004	μB/atom

Cell: 6.6555 6.6555 8.3058 Å, 102.52 102.52 31.03°
Element x y z (fractional)
Y 0.0000 0.0000 0.0000
Y 0.0533 0.0533 0.5877
Y 0.3379 0.3379 0.6476
Y 0.6773 0.6773 0.3193
Y 0.7318 0.7318 0.9404
Zr 0.3927 0.3927 0.2670

***

The following is a DFT calculation (PBE-GGA) of crystalline Y8Zr at its relaxed geometry.

Summary:
N(E_F)	12.8	states/eV/cell
electronic total energy	-6.6424	eV per atom
ΔE_f	53.2	meV/atom
SG	I4/mmm
magnetization	0.000	μB/atom

Cell: 7.9016 7.9016 7.9016 Å, 95.64 95.64 143.46°
Element x y z (fractional)
Y 0.0000 0.3267 0.3267
Y 0.0000 0.6733 0.6733
Y 0.3267 0.0000 0.3267
Y 0.3397 0.3397 0.6793
Y 0.3397 0.6603 0.0000
Y 0.6603 0.3397 0.0000
Y 0.6603 0.6603 0.3207
Y 0.6733 0.0000 0.6733
Zr 0.0000 0.0000 0.0000

***

The following is a DFT calculation (PBE-GGA) of crystalline YZr at its relaxed geometry.

Summary:
N(E_F)	6.5	states/eV/cell
electronic total energy	-7.4063	eV per atom
ΔE_f	99.8	meV/atom
E above lowest polymorph	0.052	eV per atom
SG	C2/m
magnetization	0.000	μB/atom

Cell: 6.3609 6.3609 5.9582 Å, 117.42 117.42 30.97°
Element x y z (fractional)
Y 0.1206 0.1206 0.4490
Y 0.8794 0.8794 0.5510
Zr 0.3674 0.3674 0.0343
Zr 0.6326 0.6326 0.9657

***

The following is a DFT calculation (PBE-GGA) of crystalline YZr2 at its relaxed geometry.

Summary:
N(E_F)	7.2	states/eV/cell
electronic total energy	-7.7905	eV per atom
ΔE_f	63.0	meV/atom
SG	Cmcm
magnetization	0.000	μB/atom

Cell: 8.9454 8.9454 5.2954 Å, 90.00 90.00 158.52°
Element x y z (fractional)
Y 0.2163 0.7837 0.7500
Y 0.7837 0.2163 0.2500
Zr 0.1028 0.8972 0.2500
Zr 0.4490 0.5510 0.2500
Zr 0.5510 0.4490 0.7500
Zr 0.8972 0.1028 0.7500

***

The following is a DFT calculation (PBE-GGA) of crystalline YZr4 at its relaxed geometry.

Summary:
N(E_F)	6.6	states/eV/cell
electronic total energy	-6.8341	eV per atom
ΔE_f	1297.2	meV/atom
E above lowest polymorph	1.198	eV per atom
SG	Pm-3m
magnetization	0.000	μB/atom

Cell: 5.1426 5.1426 5.1426 Å, 90.00 90.00 90.00°
Element x y z (fractional)
Y 0.0000 0.0000 0.0000
Zr 0.0000 0.0000 0.5000
Zr 0.0000 0.5000 0.0000
Zr 0.5000 0.0000 0.0000
Zr 0.5000 0.5000 0.5000

***

The following is a DFT calculation (PBE-GGA) of crystalline YZr at its relaxed geometry.

Summary:
N(E_F)	9.3	states/eV/cell
electronic total energy	-7.4130	eV per atom
ΔE_f	93.2	meV/atom
E above lowest polymorph	0.045	eV per atom
SG	Cm
magnetization	0.000	μB/atom

Cell: 6.4773 6.4773 7.9257 Å, 102.96 102.96 30.42°
Element x y z (fractional)
Y 0.0000 0.0000 0.0000
Y 0.0538 0.0538 0.6157
Y 0.6758 0.6758 0.3351
Zr 0.3298 0.3298 0.6679
Zr 0.3854 0.3854 0.2783
Zr 0.7366 0.7366 0.9486

***

The following is a DFT calculation (PBE-GGA) of crystalline YZr2 at its relaxed geometry.

Summary:
N(E_F)	9.1	states/eV/cell
electronic total energy	-7.3522	eV per atom
ΔE_f	501.2	meV/atom
SG	I4_1/amd
magnetization	0.000	μB/atom

Cell: 10.3312 10.3312 10.3312 Å, 157.39 157.39 32.20°
Element x y z (fractional)
Y 0.3750 0.6250 0.7500
Y 0.6250 0.3750 0.2500
Zr 0.0505 0.8005 0.2500
Zr 0.1995 0.9495 0.2500
Zr 0.8005 0.0505 0.7500
Zr 0.9495 0.1995 0.7500